# 1
Ag5Pt7 at its PBEsol-relaxed geometry. Source: the Alexandria database, functional SCAN.

Crystal system: monoclinic
Offset from the most stable computed form, eV/atom: 0.050

Unit cell a=4.8229 b=6.2788 c=6.2788 alpha=84.79 beta=82.22 gamma=82.22
Fractional coordinates of all 12 atoms:
Ag: 0.0000 0.9998 0.0002
Ag: 0.7493 0.4171 0.0850
Ag: 0.5000 0.8328 0.1672
Ag: 0.0000 0.6693 0.3307
Ag: 0.2507 0.9150 0.5829
Pt: 0.2572 0.2517 0.2488
Pt: 0.7536 0.0901 0.4253
Pt: 0.5000 0.4926 0.5074
Pt: 0.0000 0.3385 0.6615
Pt: 0.7428 0.7512 0.7483
Pt: 0.5000 0.1672 0.8328
Pt: 0.2464 0.5747 0.9099

---

# 2
Ag3Pt2 at its PBEsol-relaxed geometry. Source: the Alexandria database, functional SCAN.

Crystal system: orthorhombic
Offset from the most stable computed form, eV/atom: 0.082

Unit cell a=3.9592 b=3.9621 c=10.2446 alpha=90.00 beta=101.14 gamma=90.00
Fractional coordinates of all 10 atoms:
Pt: 0.6984 0.5000 0.3969
Pt: 0.4001 0.0000 0.8001
Pt: 0.1989 0.0000 0.3979
Pt: 0.1034 0.5000 0.2068
Ag: 0.0003 0.0000 0.0007
Ag: 0.9001 0.5000 0.8001
Ag: 0.7990 0.0000 0.5981
Ag: 0.5996 0.0000 0.1993
Ag: 0.5008 0.5000 0.0015
Ag: 0.2993 0.5000 0.5986

---

# 3
Ag7Pt5 at its PBEsol-relaxed geometry. Source: the Alexandria database, functional SCAN.

Crystal system: orthorhombic
Offset from the most stable computed form, eV/atom: 0.000

Unit cell a=4.8485 b=4.8485 c=8.4326 alpha=90.00 beta=90.00 gamma=108.12
Fractional coordinates of all 12 atoms:
Ag: 0.0000 0.0000 0.1674
Ag: 0.5000 0.0000 0.0010
Ag: 0.0000 0.0000 0.8326
Ag: 0.5000 0.0000 0.6642
Ag: 0.0000 0.0000 0.5000
Ag: 0.0000 0.5000 0.9990
Ag: 0.0000 0.5000 0.3358
Pt: 0.5000 0.0000 0.3315
Pt: 0.5000 0.5000 0.1715
Pt: 0.5000 0.5000 0.8285
Pt: 0.0000 0.5000 0.6685
Pt: 0.5000 0.5000 0.5000

---

# 4
Ag4Pt5 at its PBEsol-relaxed geometry. Source: the Alexandria database, functional SCAN.

Crystal system: triclinic
Offset from the most stable computed form, eV/atom: 0.025

Unit cell a=4.8636 b=4.8588 c=7.3491 alpha=71.20 beta=89.93 gamma=60.15
Last column: magnetic moment on the atom in μB.
Fractional coordinates of all 9 atoms:
Pt: 0.3183 0.3356 0.9973  0.06
Pt: 0.8870 0.5524 0.6678  0.06
Pt: 0.6505 0.6725 0.0005  0.04
Pt: 0.4564 0.7879 0.3324  0.04
Pt: 0.2354 0.8698 0.6690  0.04
Ag: 0.9912 0.0007 0.0006  0.00
Ag: 0.7858 0.1160 0.3335  0.00
Ag: 0.5589 0.2174 0.6648  0.00
Ag: 0.1165 0.4477 0.3342  0.00

---

# 5
Ag7Pt4 at its PBEsol-relaxed geometry. Source: the Alexandria database, functional SCAN.

Crystal system: triclinic
Offset from the most stable computed form, eV/atom: 0.008

Unit cell a=4.8217 b=4.8877 c=7.5272 alpha=96.00 beta=90.93 gamma=98.98
Fractional coordinates of all 11 atoms:
Ag: 0.9976 0.0050 0.9987
Ag: 0.4551 0.7331 0.9114
Ag: 0.9055 0.4550 0.8168
Ag: 0.3622 0.1805 0.7312
Ag: 0.2746 0.6361 0.5451
Ag: 0.7301 0.3595 0.4552
Ag: 0.1816 0.0856 0.3616
Pt: 0.8156 0.9063 0.6297
Pt: 0.6354 0.8092 0.2698
Pt: 0.0923 0.5453 0.1798
Pt: 0.5500 0.2844 0.1007

---

# 6
Ag4Pt5 at its PBEsol-relaxed geometry. Source: the Alexandria database, functional SCAN.

Crystal system: tetragonal
Offset from the most stable computed form, eV/atom: 0.002

Unit cell a=3.9006 b=6.2901 c=6.2901 alpha=84.48 beta=71.94 gamma=71.94
Fractional coordinates of all 9 atoms:
Pt: 0.0000 0.0000 0.0000
Pt: 0.6657 0.6685 0.0000
Pt: 0.3343 0.0000 0.3315
Pt: 0.6657 0.0000 0.6685
Pt: 0.3343 0.3315 0.0000
Ag: 0.6677 0.3323 0.3323
Ag: 0.3323 0.6677 0.6677
Ag: 0.0000 0.3323 0.6677
Ag: 0.0000 0.6677 0.3323

---

# 7
Ag4Pt at its PBEsol-relaxed geometry. Source: the Alexandria database, functional SCAN.

Crystal system: monoclinic
Offset from the most stable computed form, eV/atom: 0.011

Unit cell a=2.8277 b=4.9092 c=6.3582 alpha=75.11 beta=77.15 gamma=73.26
Fractional coordinates of all 5 atoms:
Pt: 0.0000 0.5000 0.5000
Ag: 0.4034 0.2992 0.8940
Ag: 0.7968 0.1056 0.3008
Ag: 0.2032 0.8944 0.6992
Ag: 0.5966 0.7008 0.1060

---

# 8
Ag4Pt at its PBEsol-relaxed geometry. Source: the Alexandria database, functional SCAN.

Crystal system: tetragonal
Offset from the most stable computed form, eV/atom: 0.023

Unit cell a=2.8274 b=2.8274 c=10.2849 alpha=97.90 beta=97.90 gamma=90.00
Fractional coordinates of all 5 atoms:
Pt: 0.0000 0.0000 0.0000
Ag: 0.4023 0.4023 0.8047
Ag: 0.8008 0.8008 0.6017
Ag: 0.1992 0.1992 0.3983
Ag: 0.5977 0.5977 0.1953

---

# 9
Ag2Pt3 at its PBEsol-relaxed geometry. Source: the Alexandria database, functional SCAN.

Crystal system: triclinic
Offset from the most stable computed form, eV/atom: 0.058

Unit cell a=4.8480 b=4.8536 c=7.3740 alpha=70.83 beta=71.13 gamma=80.55
Fractional coordinates of all 10 atoms:
Ag: 0.9993 0.9968 0.9994
Ag: 0.5010 0.7086 0.0999
Ag: 0.0041 0.7957 0.3991
Ag: 0.9981 0.1953 0.6017
Pt: 0.9985 0.3925 0.1995
Pt: 0.4981 0.1112 0.3000
Pt: 0.5040 0.4960 0.5034
Pt: 0.5023 0.8956 0.6954
Pt: 0.0016 0.5942 0.8014
Pt: 0.4929 0.3143 0.9002

---

# 10
Ag2Pt3 at its PBEsol-relaxed geometry. Source: the Alexandria database, functional SCAN.

Crystal system: trigonal
Offset from the most stable computed form, eV/atom: 0.000

Unit cell a=2.7572 b=2.7572 c=11.8172 alpha=83.30 beta=83.30 gamma=60.00
Fractional coordinates of all 5 atoms:
Pt: 0.0000 0.0000 0.0000
Pt: 0.1997 0.1997 0.4009
Pt: 0.8003 0.8003 0.5991
Ag: 0.4003 0.4003 0.7992
Ag: 0.5997 0.5997 0.2008

---

# 11
AgPt4 at its PBEsol-relaxed geometry. Source: the Alexandria database, functional SCAN.

Crystal system: cubic
Offset from the most stable computed form, eV/atom: 0.938

Unit cell a=4.9595 b=4.9595 c=4.9595 alpha=109.47 beta=109.47 gamma=109.47
Fractional coordinates of all 5 atoms:
Ag: 0.0000 0.0000 0.0000
Pt: 0.0000 0.0000 0.5000
Pt: 0.0000 0.5000 0.0000
Pt: 0.5000 0.0000 0.0000
Pt: 0.5000 0.5000 0.5000

---

# 12
Ag5Pt7 at its PBEsol-relaxed geometry. Source: the Alexandria database, functional SCAN.

Crystal system: monoclinic
Offset from the most stable computed form, eV/atom: 0.058

Unit cell a=4.8512 b=4.8654 c=9.2525 alpha=84.63 beta=79.19 gamma=60.10
Fractional coordinates of all 12 atoms:
Ag: 0.7641 0.0000 0.2502
Ag: 0.8326 0.3348 0.0000
Ag: 0.0000 0.0000 0.5000
Ag: 0.1674 0.6652 0.0000
Ag: 0.2359 0.0000 0.7498
Pt: 0.8965 0.6695 0.7488
Pt: 0.1035 0.3305 0.2512
Pt: 0.3291 0.3419 0.5000
Pt: 0.4340 0.6695 0.2512
Pt: 0.5000 0.0000 0.0000
Pt: 0.5660 0.3305 0.7488
Pt: 0.6709 0.6581 0.5000

---

# 13
Ag5Pt7 at its PBEsol-relaxed geometry. Source: the Alexandria database, functional SCAN.

Crystal system: orthorhombic
Offset from the most stable computed form, eV/atom: 0.038

Unit cell a=3.9493 b=7.4138 c=7.4138 alpha=64.44 beta=74.55 gamma=74.55
Fractional coordinates of all 12 atoms:
Ag: 0.0000 0.7515 0.2485
Ag: 0.1627 0.3373 0.3373
Ag: 0.5000 0.5000 0.5000
Ag: 0.8373 0.6627 0.6627
Ag: 0.0000 0.2485 0.7515
Pt: 0.3299 0.9290 0.4111
Pt: 0.6701 0.0710 0.5889
Pt: 0.1679 0.8321 0.8321
Pt: 0.3299 0.4111 0.9290
Pt: 0.5000 0.0000 0.0000
Pt: 0.6701 0.5889 0.0710
Pt: 0.8321 0.1679 0.1679

---

# 14
Ag5Pt7 at its PBEsol-relaxed geometry. Source: the Alexandria database, functional SCAN.

Crystal system: monoclinic
Offset from the most stable computed form, eV/atom: 0.026

Unit cell a=2.7635 b=8.3892 c=8.4832 alpha=108.98 beta=90.00 gamma=90.00
Fractional coordinates of all 12 atoms:
Ag: 0.0000 0.9985 0.9949
Ag: 0.5000 0.9169 0.2536
Ag: 0.0000 0.8327 0.4998
Ag: 0.0000 0.6689 0.0042
Ag: 0.5000 0.2452 0.2486
Pt: 0.5000 0.7499 0.7492
Pt: 0.5000 0.5717 0.2513
Pt: 0.0000 0.5019 0.5046
Pt: 0.5000 0.4197 0.7455
Pt: 0.0000 0.3363 0.9949
Pt: 0.0000 0.1691 0.5039
Pt: 0.5000 0.0893 0.7495

---

# 15
Ag5Pt7 at its PBEsol-relaxed geometry. Source: the Alexandria database, functional SCAN.

Crystal system: monoclinic
Offset from the most stable computed form, eV/atom: 0.042

Unit cell a=3.9627 b=6.2479 c=7.8978 alpha=108.32 beta=90.00 gamma=90.00
Fractional coordinates of all 12 atoms:
Ag: 0.0000 0.1670 0.4164
Ag: 0.5000 0.5000 0.5000
Ag: 0.0000 0.8330 0.5836
Ag: 0.0000 0.4969 0.7490
Ag: 0.0000 0.5031 0.2510
Pt: 0.5000 0.1599 0.6708
Pt: 0.5000 0.8353 0.8396
Pt: 0.0000 0.1666 0.9183
Pt: 0.5000 0.5000 0.0000
Pt: 0.0000 0.8334 0.0817
Pt: 0.5000 0.1647 0.1604
Pt: 0.5000 0.8401 0.3292

---

# 16
Ag7Pt5 at its PBEsol-relaxed geometry. Source: the Alexandria database, functional SCAN.

Crystal system: orthorhombic
Offset from the most stable computed form, eV/atom: 0.044

Unit cell a=3.9976 b=5.6089 c=8.8643 alpha=108.44 beta=90.00 gamma=90.00
Fractional coordinates of all 12 atoms:
Ag: 0.0000 0.1697 0.8329
Ag: 0.5000 0.0000 0.0000
Ag: 0.0000 0.8303 0.1671
Ag: 0.0000 0.6633 0.8329
Ag: 0.0000 0.3367 0.1671
Ag: 0.5000 0.1665 0.3329
Ag: 0.5000 0.8335 0.6671
Pt: 0.5000 0.6689 0.3378
Pt: 0.0000 0.5000 0.5000
Pt: 0.5000 0.3311 0.6622
Pt: 0.5000 0.5000 0.0000
Pt: 0.0000 0.0000 0.5000

---

# 17
Ag3Pt2 at its PBEsol-relaxed geometry. Source: the Alexandria database, functional SCAN.

Crystal system: triclinic
Offset from the most stable computed form, eV/atom: 0.065

Unit cell a=4.8719 b=5.5919 c=6.3248 alpha=102.43 beta=98.11 gamma=106.28
Fractional coordinates of all 10 atoms:
Ag: 0.9973 0.0000 0.0041
Ag: 0.8001 0.0984 0.5961
Ag: 0.5965 0.2001 0.1984
Ag: 0.3999 0.2979 0.7981
Ag: 0.9998 0.5025 0.0051
Ag: 0.8067 0.6009 0.5991
Pt: 0.2105 0.4056 0.4042
Pt: 0.5912 0.7018 0.1963
Pt: 0.4010 0.7962 0.7961
Pt: 0.1969 0.8965 0.4024

---

# 18
Ag5Pt7 at its PBEsol-relaxed geometry. Source: the Alexandria database, functional SCAN.

Crystal system: triclinic
Offset from the most stable computed form, eV/atom: 0.041

Unit cell a=4.8446 b=5.5793 c=7.4309 alpha=79.56 beta=77.24 gamma=72.92
Fractional coordinates of all 12 atoms:
Pt: 0.9876 0.6673 0.3352
Pt: 0.0020 0.3322 0.6693
Pt: 0.5031 0.1694 0.8291
Pt: 0.0123 0.5033 0.9956
Pt: 0.4940 0.9961 0.5073
Pt: 0.9932 0.8342 0.6675
Pt: 0.5113 0.6643 0.8307
Ag: 0.0041 0.0007 0.0007
Ag: 0.5004 0.8333 0.1666
Ag: 0.4930 0.4993 0.4977
Ag: 0.5004 0.3335 0.1661
Ag: 0.9986 0.1663 0.3342

---

# 19
Ag2Pt3 at its PBEsol-relaxed geometry. Source: the Alexandria database, functional SCAN.

Crystal system: tetragonal
Offset from the most stable computed form, eV/atom: 0.063

Unit cell a=2.7519 b=2.7519 c=10.4170 alpha=97.59 beta=97.59 gamma=90.00
Last column: magnetic moment on the atom in μB.
Fractional coordinates of all 5 atoms:
Pt: 0.5000 0.5000 0.0000  0.01
Pt: 0.2976 0.2976 0.5952  0.17
Pt: 0.7024 0.7024 0.4048  0.17
Ag: 0.1007 0.1007 0.2014  0.01
Ag: 0.8993 0.8993 0.7986  0.01

---

# 20
Ag5Pt7 at its PBEsol-relaxed geometry. Source: the Alexandria database, functional SCAN.

Crystal system: tetragonal
Offset from the most stable computed form, eV/atom: 0.035

Unit cell a=2.7610 b=2.7610 c=24.4555 alpha=90.00 beta=90.00 gamma=90.00
Fractional coordinates of all 12 atoms:
Ag: 0.0000 0.0000 0.9958
Ag: 0.5000 0.5000 0.0821
Ag: 0.5000 0.5000 0.2500
Ag: 0.5000 0.5000 0.4183
Ag: 0.5000 0.5000 0.5865
Pt: 0.0000 0.0000 0.1656
Pt: 0.0000 0.0000 0.3340
Pt: 0.0000 0.0000 0.5025
Pt: 0.0000 0.0000 0.6715
Pt: 0.5000 0.5000 0.7512
Pt: 0.0000 0.0000 0.8312
Pt: 0.5000 0.5000 0.9114